Entry 1:
VASP calculation (PBE-GGA) on an optimized crystal structure of Ce4As5S.

Cell: 4.1749 7.8899 9.2055 Å, 125.89 103.11 90.00°
Positions (direct):
Ce 0.0676 0.3389 0.1352
Ce 0.3177 0.8906 0.6354
Ce 0.6823 0.1094 0.3646
Ce 0.9324 0.6611 0.8648
S 0.5000 0.0000 0.0000
As 0.7204 0.5697 0.4408
As 0.2796 0.4303 0.5592
As 0.8683 0.2070 0.7366
As 0.5000 0.5000 0.0000
As 0.1317 0.7930 0.2634

Results
space group	C2/m (12)
calculated density	6.810	g cm⁻³

=====

Entry 2:
VASP calculation (PBE-GGA) on an optimized crystal structure of Ce2AsS.

Cell: 4.0938 4.0938 14.1260 Å, 90.00 90.00 120.00°
Positions (direct):
S 0.6667 0.3333 0.2500
S 0.3333 0.6667 0.7500
As 0.0000 0.0000 0.5000
As 0.0000 0.0000 0.0000
Ce 0.3333 0.6667 0.3780
Ce 0.3333 0.6667 0.1220
Ce 0.6667 0.3333 0.6220
Ce 0.6667 0.3333 0.8780

Results
space group	P6_3/mmc (194)
calculated density	6.272	g cm⁻³
distance to the lowest polymorph of the same formula	2.68	kcal/mol of atoms

=====

Entry 3:
VASP calculation (PBE-GGA) on an optimized crystal structure of Ce4As3S.

Cell: 4.1776 4.1776 13.8112 Å, 81.30 81.30 60.00°
Positions (direct):
As 0.2517 0.2517 0.2448
As 0.5000 0.5000 0.5000
As 0.7483 0.7483 0.7552
Ce 0.3726 0.3726 0.8821
Ce 0.6274 0.6274 0.1179
Ce 0.8759 0.8759 0.3722
Ce 0.1241 0.1241 0.6278
S 0.0000 0.0000 0.0000

Results
space group	R-3m (166)
calculated density	6.603	g cm⁻³

=====

| no. | spin magnetization (μB per formula unit) | E_form (uncorrected) (meV/atom) |
| --- | --- | --- |
| 1 | 2.09 | -1219 |
| 2 | 1.92 | -1616 |
| 3 | 3.11 | -1576 |